Entry 1:
# VIrPt (PBE, optimized geometry)
# Calculated formation energy: -1.3 eV/f.u.
# Polymorph energy (0 for the lowest one): 0 meV/atom
data_VIrPt
_chemical_formula_sum 'V2 Ir2 Pt2'
_symmetry_space_group_name_H-M 'I m m 2'
_symmetry_Int_Tables_number 44
_cell_length_a 2.731
_cell_length_b 3.778
_cell_length_c 8.425
_cell_angle_alpha 90.00
_cell_angle_beta 90.00
_cell_angle_gamma 90.00
loop_
_symmetry_equiv_pos_as_xyz
'x,y,z'
'-x,-y,z'
'-x,y,z'
'x,-y,z'
'x+1/2,y+1/2,z+1/2'
'-x+1/2,-y+1/2,z+1/2'
'-x+1/2,y+1/2,z+1/2'
'x+1/2,-y+1/2,z+1/2'
loop_
_atom_site_label
_atom_site_type_symbol
_atom_site_fract_x
_atom_site_fract_y
_atom_site_fract_z
V1 V 0.000 0.000 0.000
Ir1 Ir 0.000 0.000 0.648
Pt1 Pt 0.000 0.000 0.328

Entry 2:
# V2IrPt2 (PBE, optimized geometry)
# Calculated formation energy: -2.1 eV/f.u.
# Polymorph energy (0 for the lowest one): 0 meV/atom
data_V2IrPt2
_chemical_formula_sum 'V8 Ir4 Pt8'
_symmetry_space_group_name_H-M 'C m c 21'
_symmetry_Int_Tables_number 36
_cell_length_a 4.370
_cell_length_b 13.952
_cell_length_c 4.871
_cell_angle_alpha 90.00
_cell_angle_beta 90.00
_cell_angle_gamma 90.00
loop_
_symmetry_equiv_pos_as_xyz
'x,y,z'
'-x,-y,z+1/2'
'-x,y,z'
'x,-y,z+1/2'
'x+1/2,y+1/2,z'
'-x+1/2,-y+1/2,z+1/2'
'-x+1/2,y+1/2,z'
'x+1/2,-y+1/2,z+1/2'
loop_
_atom_site_label
_atom_site_type_symbol
_atom_site_fract_x
_atom_site_fract_y
_atom_site_fract_z
V1 V 0.000 0.055 0.000
V2 V 0.000 0.273 0.143
Ir1 Ir 0.000 0.138 0.492
Pt1 Pt 0.000 0.340 0.639
Pt2 Pt 0.000 0.457 0.180

Number 1: D(E_F) 6.5 states/eV per cell. Number 2: D(E_F) 20.3 states/eV per cell.